Record 1
# DyMgGe2Rh2 (GGA-PBE, relaxed)
# Calculated formation energy = -780 meV/atom
# DOS at the Fermi energy = 0.5823 states/eV/atom
# Crystal system = trigonal
data_DyMgGe2Rh2
_space_group_name_H-M_alt 'P -3 m 1'
_space_group_IT_number 164
_space_group_name_Hall '-P 3 2"'
_cell_length_a 4.2887
_cell_length_b 4.2887
_cell_length_c 6.6442
_cell_angle_alpha 90.00
_cell_angle_beta 90.00
_cell_angle_gamma 120.00
loop_
_atom_site_label
_atom_site_fract_x
_atom_site_fract_y
_atom_site_fract_z
_atom_site_occupancy
Dy1 0.0000 0.0000 0.0000 1
Mg1 0.0000 0.0000 0.5000 1
Ge1 0.3333 0.6667 0.2590 1
Rh1 0.3333 0.6667 0.6470 1

=====

Record 2
# CaMg2Zr (GGA-PBE, relaxed)
# Calculated formation energy = 211 meV/atom
# DOS at the Fermi energy = 1.3005 states/eV/atom
# Crystal system = monoclinic
data_CaMg2Zr
_space_group_name_H-M_alt 'C 1 2/m 1'
_space_group_IT_number 12
_cell_length_a 10.814
_cell_length_b 3.143
_cell_length_c 6.252
_cell_angle_alpha 90.00
_cell_angle_beta 97.04
_cell_angle_gamma 90.00
loop_
_space_group_symop_operation_xyz
'x,y,z'
'-x,-y,-z'
'-x,y,-z'
'x,-y,z'
'x+1/2,y+1/2,z'
'-x+1/2,-y+1/2,-z'
'-x+1/2,y+1/2,-z'
'x+1/2,-y+1/2,z'
loop_
_atom_site_label
_atom_site_fract_x
_atom_site_fract_y
_atom_site_fract_z
_atom_site_occupancy
Ca1 0.000 0.000 0.000 1
Mg1 0.246 0.000 0.723 1
Zr1 0.000 0.500 0.500 1

=====

Record 3
# La4BiRu2 (GGA-PBE, relaxed)
# Calculated formation energy = -385 meV/atom
# DOS at the Fermi energy = 0.7164 states/eV/atom
# Crystal system = monoclinic
data_La4BiRu2
_space_group_name_H-M_alt 'C 1 c 1'
_space_group_IT_number 9
_cell_length_a 9.270
_cell_length_b 13.676
_cell_length_c 8.156
_cell_angle_alpha 90.00
_cell_angle_beta 123.63
_cell_angle_gamma 90.00
loop_
_space_group_symop_operation_xyz
'x,y,z'
'x,-y,z+1/2'
'x+1/2,y+1/2,z'
'x+1/2,-y+1/2,z+1/2'
loop_
_atom_site_label
_atom_site_fract_x
_atom_site_fract_y
_atom_site_fract_z
_atom_site_occupancy
La1 0.000 0.018 0.000 1
La2 0.121 0.247 0.660 1
La3 0.318 0.208 0.368 1
La4 0.466 0.051 0.763 1
Bi1 0.231 0.381 0.057 1
Ru1 0.034 0.181 0.327 1
Ru2 0.243 0.016 0.929 1